No. 1
Entry from Alexandria: a relaxed MnGaBRuSe crystal (GGA-PBE).

Unit cell a=2.9268 b=2.9580 c=8.9164 alpha=90.53 beta=91.40 gamma=90.00
Positions (direct):
1 Ru 0.0328 0.0598 0.3165
2 B 0.5377 0.5617 0.3787
3 Mn 0.5170 0.5533 0.1029
4 Ga 0.5559 0.0682 0.5904
5 Se 0.0052 0.0495 0.9590

Theoretical density ... 6.79 g/cm³
Total magnetic moment ... 0.451 μB per atom
Formation energy without anion corrections ... 0.00 eV/atom
DOS(E_F) ... 3.3 states/eV/f.u.
Volume ... 15.43 A^3/atom
Offset from the most stable computed form ... 217 meV/atom

=====

No. 2
Entry from Alexandria: a relaxed NaCeTeO6 crystal (GGA-PBE).

Unit cell a=5.0986 b=5.0986 c=10.0900 alpha=90.00 beta=90.00 gamma=90.00
Positions (direct):
1 Na 0.5000 0.5000 0.5012
2 Na 0.0000 0.0000 0.0012
3 Ce 0.5000 0.5000 0.1694
4 Ce 0.0000 0.0000 0.6694
5 Te 0.5000 0.5000 0.8340
6 Te 0.0000 0.0000 0.3340
7 O 0.1764 0.8236 0.4794
8 O 0.8236 0.1764 0.4794
9 O 0.3236 0.3236 0.9794
10 O 0.6764 0.6764 0.9794
11 O 0.1904 0.8096 0.1968
12 O 0.8096 0.1904 0.1968
13 O 0.3096 0.3096 0.6968
14 O 0.6904 0.6904 0.6968
15 O 0.7697 0.2303 0.8215
16 O 0.2303 0.7697 0.8215
17 O 0.7303 0.7303 0.3215
18 O 0.2697 0.2697 0.3215

Theoretical density ... 4.90 g/cm³
Total magnetic moment ... 0.114 μB per atom
Formation energy without anion corrections ... -1.76 eV/atom
DOS(E_F) ... 5.0 states/eV/f.u.
Volume ... 14.57 A^3/atom

=====

No. 3
Entry from Alexandria: a relaxed KLiTi2Nb crystal (GGA-PBE).

Unit cell a=4.9057 b=4.2705 c=4.9057 alpha=90.00 beta=90.00 gamma=90.00
Positions (direct):
1 Nb 0.5000 0.5000 0.5000
2 Li 0.0000 0.0000 0.0000
3 K 0.0000 0.5000 0.0000
4 Ti 0.0000 0.0000 0.5000
5 Ti 0.5000 0.0000 0.0000

Theoretical density ... 3.79 g/cm³
DFT formation energy ... 150.7 kJ per mole of atoms
Total magnetic moment ... 0.297 μB per atom
DOS(E_F) ... 7.1 states/eV/f.u.
Volume ... 20.55 A^3/atom

=====

No. 4
Entry from Alexandria: a relaxed TbTmIrOs crystal (GGA-PBE).

Unit cell a=4.8063 b=4.8063 c=4.8063 alpha=60.00 beta=60.00 gamma=60.00
Positions (direct):
1 Tb 0.7500 0.7500 0.7500
2 Tm 0.2500 0.2500 0.2500
3 Ir 0.0000 0.0000 0.0000
4 Os 0.5000 0.5000 0.5000

Theoretical density ... 15.02 g/cm³
DFT formation energy ... -45.9 kJ per mole of atoms
Total magnetic moment ... 0.000 μB per atom
DOS(E_F) ... 1.5 states/eV/f.u.
Volume ... 19.63 A^3/atom

=====

No. 5
Entry from Alexandria: a relaxed Zr2Mn2Ge2C crystal (GGA-PBE).

Unit cell a=3.8520 b=3.8520 c=7.4654 alpha=104.95 beta=104.95 gamma=90.00
Positions (direct):
1 Zr 0.1694 0.1694 0.3388
2 Zr 0.8306 0.8306 0.6612
3 Mn 0.0000 0.5000 0.0000
4 Mn 0.5000 0.0000 0.0000
5 Ge 0.3727 0.3727 0.7454
6 Ge 0.6273 0.6273 0.2546
7 C 0.0000 0.0000 0.0000

Theoretical density ... 7.24 g/cm³
DFT formation energy ... -53.4 kJ per mole of atoms
Total magnetic moment ... 0.393 μB per atom
DOS(E_F) ... 4.8 states/eV/f.u.
Volume ... 14.73 A^3/atom

=====

No. 6
Entry from Alexandria: a relaxed Mg2IrPd2 crystal (GGA-PBE).

Unit cell a=6.9242 b=6.9242 c=3.4641 alpha=90.00 beta=90.00 gamma=90.00
Positions (direct):
1 Mg 0.1698 0.6698 0.5000
2 Mg 0.6698 0.8302 0.5000
3 Mg 0.8302 0.3302 0.5000
4 Mg 0.3302 0.1698 0.5000
5 Ir 0.0000 0.0000 0.0000
6 Ir 0.5000 0.5000 0.0000
7 Pd 0.3659 0.8659 0.0000
8 Pd 0.8659 0.6341 0.0000
9 Pd 0.6341 0.1341 0.0000
10 Pd 0.1341 0.3659 0.0000

Theoretical density ... 9.07 g/cm³
DFT formation energy ... -24.1 kJ per mole of atoms
Total magnetic moment ... 0.000 μB per atom
DOS(E_F) ... 2.7 states/eV/f.u.
Volume ... 16.61 A^3/atom